Below is a relaxed structure of Tm2InTe6Pb3, with properties calculated at the PBE level.

Structure (POSCAR):
```
Tm2InTe6Pb3
1.0
-3.301 2.205 1.966
-5.460 -1.323 -7.683
-0.395 -9.040 4.485
Tm In Te Pb
2 1 6 3
Direct
0.832 0.666 0.664
0.168 0.334 0.336
0.500 0.000 0.000
0.327 0.889 0.653
0.671 0.564 0.341
0.673 0.111 0.347
0.011 0.259 0.023
0.989 0.741 0.977
0.329 0.436 0.659
0.500 0.500 0.000
0.840 0.166 0.679
0.160 0.834 0.321
```

Computed properties:
space group = No. 12
M_tot = 0.0000 μB per atom
DOS(E_F) = 4.0 states/eV per cell
uncorrected energy = -49.67 eV for the cell shown
uncorrected formation energy = -772.9 kJ/mol of formula units

***

Below is a relaxed structure of UIn2Te4Pb, with properties calculated at the PBE level.

Structure (POSCAR):
```
UIn2Te4Pb
1.0
-1.600 2.967 3.001
-7.298 -4.050 0.111
0.373 -5.492 5.629
U In Te Pb
1 2 4 1
Direct
0.000 0.500 0.500
0.000 0.000 0.000
0.500 0.000 0.500
0.000 0.731 0.735
0.000 0.269 0.265
0.500 0.724 0.277
0.500 0.276 0.723
0.500 0.500 0.000
```

Computed properties:
space group = No. 10
M_tot = 0.2548 μB per atom
DOS(E_F) = 4.8 states/eV per cell
uncorrected energy = -36.27 eV for the cell shown
uncorrected formation energy = -311.6 kJ/mol of formula units

***

Below is a relaxed structure of Y2InTePb, with properties calculated at the PBE level.

Structure (POSCAR):
```
Y2InTePb
1.0
-2.394 -1.765 4.997
4.825 0.335 2.430
-1.102 5.529 1.425
Pb Y Te In
1 2 1 1
Direct
0.000 0.500 0.000
0.000 0.000 0.500
0.500 0.000 0.000
0.500 0.500 0.500
0.000 0.000 0.000
```

Computed properties:
space group = No. 123
M_tot = 0.0000 μB per atom
DOS(E_F) = 4.3 states/eV per cell
uncorrected energy = -21.76 eV for the cell shown
uncorrected formation energy = 72.7 kJ/mol of formula units

***

Below is a relaxed structure of ThIn2Pb, with properties calculated at the PBE level.

Structure (POSCAR):
```
ThIn2Pb
1.0
-3.573 1.101 3.207
3.070 -0.446 3.574
1.089 4.591 -0.363
Pb Th In
1 1 2
Direct
0.500 0.500 0.500
0.500 0.000 0.000
0.000 0.000 0.500
0.000 0.500 0.000
```

Computed properties:
space group = No. 123
DFT formation energy = -0.295 eV/atom
M_tot = 0.0000 μB per atom
DOS(E_F) = 3.3 states/eV per cell
uncorrected energy = -17.79 eV for the cell shown